[1]
Below is TmTh2Sc4 after structural relaxation, with properties calculated at the PBE level.

CIF file:
```
data_TmTh2Sc4
_chemical_formula_sum 'Tm2 Th4 Sc8'
_cell_length_a 5.374
_cell_length_b 21.754
_cell_length_c 3.355
_cell_angle_alpha 90.00
_cell_angle_beta 90.00
_cell_angle_gamma 90.00
_space_group_name_H-M_alt 'C m m m'
_space_group_IT_number 65
_space_group_name_Hall '-C 2 2'
loop_
_atom_site_label
_atom_site_fract_x
_atom_site_fract_y
_atom_site_fract_z
_atom_site_occupancy
Tm1 0.000 0.000 0.000 1
Th1 0.000 0.428 0.500 1
Sc1 0.000 0.158 0.500 1
Sc2 0.000 0.289 0.000 1
```

## Properties
As for the total energy: -87.956 eV/cell. The value obtained for the distance to the lowest polymorph of the same formula is 36 meV per atom.


[2]
Below is TmTh3Sc12 after structural relaxation, with properties calculated at the PBE level.

CIF file:
```
data_TmTh3Sc12
_chemical_formula_sum 'Tm1 Th3 Sc12'
_cell_length_a 4.716
_cell_length_b 4.716
_cell_length_c 18.860
_cell_angle_alpha 90.00
_cell_angle_beta 90.00
_cell_angle_gamma 90.00
_space_group_name_H-M_alt 'P 4/m m m'
_space_group_IT_number 123
_space_group_name_Hall '-P 4 2'
loop_
_atom_site_label
_atom_site_fract_x
_atom_site_fract_y
_atom_site_fract_z
_atom_site_occupancy
Tm1 0.000 0.000 0.000 1
Th1 0.000 0.000 0.250 1
Th2 0.000 0.000 0.500 1
Sc1 0.000 0.500 0.125 1
Sc2 0.000 0.500 0.375 1
Sc3 0.500 0.500 0.000 1
Sc4 0.500 0.500 0.249 1
Sc5 0.500 0.500 0.500 1
```

## Properties
As for the total energy: -102.151 eV/cell.


[3]
Below is Tm2Th2Sc3 after structural relaxation, with properties calculated at the PBE level.

CIF file:
```
data_Tm2Th2Sc3
_chemical_formula_sum 'Tm4 Th4 Sc6'
_cell_length_a 10.770
_cell_length_b 4.859
_cell_length_c 7.662
_cell_angle_alpha 90.00
_cell_angle_beta 98.51
_cell_angle_gamma 90.00
_space_group_name_H-M_alt 'C 1 2/m 1'
_space_group_IT_number 12
loop_
_space_group_symop_operation_xyz
'x,y,z'
'-x,-y,-z'
'-x,y,-z'
'x,-y,z'
'x+1/2,y+1/2,z'
'-x+1/2,-y+1/2,-z'
'-x+1/2,y+1/2,-z'
'x+1/2,-y+1/2,z'
loop_
_atom_site_label
_atom_site_fract_x
_atom_site_fract_y
_atom_site_fract_z
_atom_site_occupancy
Tm1 0.073 0.000 0.213 1
Th1 0.215 0.000 0.645 1
Sc1 0.000 0.500 0.500 1
Sc2 0.145 0.500 0.927 1
```

## Properties
As for the total energy: -84.966 eV/cell. The value obtained for the distance to the lowest polymorph of the same formula is 0 meV per atom.


[4]
Below is Tm5Th2Sc4 after structural relaxation, with properties calculated at the PBE level.

CIF file:
```
data_Tm5Th2Sc4
_chemical_formula_sum 'Tm5 Th2 Sc4'
_cell_length_a 8.344
_cell_length_b 3.413
_cell_length_c 11.401
_cell_angle_alpha 90.00
_cell_angle_beta 96.86
_cell_angle_gamma 90.00
_space_group_name_H-M_alt 'P 1 2/m 1'
_space_group_IT_number 10
loop_
_space_group_symop_operation_xyz
'x,y,z'
'-x,-y,-z'
'-x,y,-z'
'x,-y,z'
loop_
_atom_site_label
_atom_site_fract_x
_atom_site_fract_y
_atom_site_fract_z
_atom_site_occupancy
Tm1 0.000 0.000 0.000 1
Tm2 0.045 0.000 0.295 1
Tm3 0.343 0.000 0.869 1
Th1 0.462 0.000 0.361 1
Sc1 0.193 0.500 0.538 1
Sc2 0.310 0.500 0.123 1
```

## Properties
As for the total energy: -60.856 eV/cell. The value obtained for the distance to the lowest polymorph of the same formula is 0 meV per atom.


[5]
Below is Tm10ThSc4 after structural relaxation, with properties calculated at the PBE level.

CIF file:
```
data_Tm10ThSc4
_chemical_formula_sum 'Tm20 Th2 Sc8'
_cell_length_a 12.156
_cell_length_b 12.156
_cell_length_c 6.483
_cell_angle_alpha 90.00
_cell_angle_beta 90.00
_cell_angle_gamma 90.00
_space_group_name_H-M_alt 'I 4/m'
_space_group_IT_number 87
_space_group_name_Hall '-I 4'
loop_
_atom_site_label
_atom_site_fract_x
_atom_site_fract_y
_atom_site_fract_z
_atom_site_occupancy
Tm1 0.000 0.500 0.250 1
Tm2 0.122 0.722 0.243 1
Th1 0.000 0.000 0.000 1
Sc1 0.068 0.175 0.500 1
```

## Properties
As for the total energy: -136.561 eV/cell.


[6]
Below is Tm4ThSc after structural relaxation, with properties calculated at the PBE level.

CIF file:
```
data_Tm4ThSc
_chemical_formula_sum 'Tm8 Th2 Sc2'
_cell_length_a 11.485
_cell_length_b 3.484
_cell_length_c 9.789
_cell_angle_alpha 90.00
_cell_angle_beta 115.19
_cell_angle_gamma 90.00
_space_group_name_H-M_alt 'C 1 2/m 1'
_space_group_IT_number 12
loop_
_space_group_symop_operation_xyz
'x,y,z'
'-x,-y,-z'
'-x,y,-z'
'x,-y,z'
'x+1/2,y+1/2,z'
'-x+1/2,-y+1/2,-z'
'-x+1/2,y+1/2,-z'
'x+1/2,-y+1/2,z'
loop_
_atom_site_label
_atom_site_fract_x
_atom_site_fract_y
_atom_site_fract_z
_atom_site_occupancy
Tm1 0.165 0.000 0.331 1
Tm2 0.165 0.000 0.835 1
Th1 0.000 0.500 0.500 1
Sc1 0.000 0.500 0.000 1
```

## Properties
As for the total energy: -62.801 eV/cell. The value obtained for the distance to the lowest polymorph of the same formula is 4 meV per atom.


So what do the calculations give for DFT formation energy? Going down the list: 0.7 0.6 0.3 1.7 9.2 0.2 eV per formula unit.
So what do the calculations give for V? Going down the list: 28.02 26.22 28.32 29.30 31.93 29.54 A^3/atom.